[1]
{"formula": "Al8IrRh2", "functional": "PBE", "state": "relaxed", "space_group": "P1, No. 1", "ef_ev_per_atom": -0.623, "n_ef_per_ev_fu": 4.334, "final_energy_ev_per_atom": -5.487, "vol_a3_per_atom": 15.821, "lattice_angstrom": [[-3.224, -1.246, -2.368], [1.715, -4.876, 0.236], [-3.576, 1.712, 7.691]], "species": ["Al", "Al", "Al", "Al", "Al", "Al", "Al", "Al", "Ir", "Rh", "Rh"], "fractional_positions": [[0.606, 0.281, 0.849], [0.990, 0.066, 0.618], [0.302, 0.263, 0.240], [0.723, 0.951, 0.083], [0.362, 0.802, 0.363], [0.917, 0.483, 0.470], [0.187, 0.592, 0.009], [0.550, 0.742, 0.735], [0.140, 0.029, 0.916], [0.769, 0.516, 0.173], [0.454, 0.277, 0.544]]}

---

[2]
{"formula": "AlIrRh2", "functional": "PBE", "state": "relaxed", "space_group": "Cm, No. 8", "ef_ev_per_atom": -0.460, "n_ef_per_ev_fu": 1.875, "final_energy_ev_per_atom": -7.287, "vol_a3_per_atom": 14.147, "lattice_angstrom": [[4.731, 0.002, 0.002], [3.923, 2.644, 0.002], [1.030, 0.315, 4.526]], "species": ["Ir", "Rh", "Rh", "Al"], "fractional_positions": [[0.242, 0.242, 0.239], [0.997, 0.997, 0.012], [0.760, 0.760, 0.737], [0.502, 0.502, 0.512]]}

---

[3]
{"formula": "AlIr2Rh", "functional": "PBE", "state": "relaxed", "space_group": "C2/m, No. 12", "ef_ev_per_atom": -0.433, "n_ef_per_ev_fu": 1.819, "final_energy_ev_per_atom": -7.637, "vol_a3_per_atom": 14.253, "lattice_angstrom": [[-2.873, -2.614, 2.733], [-1.575, -4.360, 1.033], [2.806, -1.315, 3.495]], "species": ["Ir", "Ir", "Rh", "Al"], "fractional_positions": [[0.990, 0.990, 0.002], [0.510, 0.510, 0.498], [0.750, 0.750, 0.750], [0.250, 0.250, 0.250]]}

---

[4]
{"formula": "Al2IrRh", "functional": "PBE", "state": "relaxed", "space_group": "P4mm, No. 99", "ef_ev_per_atom": -0.627, "n_ef_per_ev_fu": 2.771, "final_energy_ev_per_atom": -6.551, "relative_energy_ev_per_atom": 0.397, "vol_a3_per_atom": 14.474, "lattice_angstrom": [[3.209, 0.000, 0.000], [0.000, 3.209, 0.000], [0.000, 0.000, 5.622]], "species": ["Ir", "Rh", "Al", "Al"], "fractional_positions": [[0.000, 0.000, 0.457], [0.500, 0.500, 0.797], [0.000, 0.000, 0.983], [0.500, 0.500, 0.264]]}